The following is a PBE calculation of a relaxed BaH4Pd2 crystal, from Alexandria.

The space group is Cmcm (No. 63) and the conventional cell measures 3.3504, 9.9376 and 9.8842 Å, with angles of 90.00, 90.00 and 90.00 degrees. The distinct sites, in fractional coordinates, are Ba at (0.0000, 0.0955, 0.2500), H at (0.0000, 0.0000, 0.0000), H at (0.0000, 0.2298, 0.5737), H at (0.0000, 0.3888, 0.2500) and Pd at (0.0000, 0.3625, 0.0561).

The energy above the lowest structure with this stoichiometry is 34 meV/atom.


The following is a PBE calculation of a relaxed K2SrBe crystal, from Alexandria.

The space group is P2/m (No. 10) and the conventional cell measures 4.5062, 6.6322 and 5.8519 Å, with angles of 90.00, 96.89 and 90.00 degrees. The distinct sites, in fractional coordinates, are K at (0.2046, 0.0000, 0.2798), Sr at (0.5000, 0.5000, 0.0000) and Be at (0.0000, 0.5000, 0.5000).

The value obtained for the energy of formation is 0.669 eV/atom.


The following is a PBE calculation of a relaxed ZrCoN crystal, from Alexandria.

The space group is P2_1/m (No. 11) and the conventional cell measures 4.4695, 3.2649 and 5.3827 Å, with angles of 90.00, 109.35 and 90.00 degrees. The distinct sites, in fractional coordinates, are Zr at (0.1719, 0.2500, 0.3133), Co at (0.3865, 0.2500, 0.8392) and N at (0.3026, 0.7500, 0.6307).

The uncorrected formation energy is -0.782 eV/atom.


The following is a PBE calculation of a relaxed Pm2YHoTe6 crystal, from Alexandria.

The space group is R3 (No. 146, hexagonal axes) and the conventional cell measures 7.7998, 7.7998 and 21.2181 Å, with angles of 90.00, 90.00 and 120.00 degrees. The distinct sites, in fractional coordinates, are Pm at (0.0000, 0.0000, 0.0000), Pm at (0.0000, 0.0000, 0.4997), Y at (0.0000, 0.0000, 0.1885), Ho at (0.0000, 0.0000, 0.6883), Te at (0.0292, 0.3476, 0.7638) and Te at (0.0299, 0.6801, 0.2641).

The uncorrected formation energy is -1.375 eV/atom.


The following is a PBE calculation of a relaxed TaMnCr crystal, from Alexandria.

The space group is F-43m (No. 216) and the conventional cell measures 5.9204, 5.9204 and 5.9204 Å, with angles of 90.00, 90.00 and 90.00 degrees. The distinct sites, in fractional coordinates, are Ta at (0.0000, 0.0000, 0.0000), Mn at (0.2500, 0.2500, 0.7500) and Cr at (0.2500, 0.2500, 0.2500).

The energy above the lowest structure with this stoichiometry is 1161 meV/atom. The value obtained for the energy of formation is 0.994 eV/atom.


The following is a PBE calculation of a relaxed LaTl2VSi crystal, from Alexandria.

The space group is P4/mmm (No. 123) and the conventional cell measures 6.0845, 6.0845 and 5.3977 Å, with angles of 90.00, 90.00 and 90.00 degrees. The distinct sites, in fractional coordinates, are La at (0.0000, 0.0000, 0.0000), Tl at (0.0000, 0.5000, 0.0000), V at (0.5000, 0.5000, 0.5000) and Si at (0.0000, 0.0000, 0.5000).

The uncorrected formation energy is 1.341 eV/atom.


Listing ρ for the structures above in their given order: 7.1; 1.7; 7.4; 5.8; 9.2; 5.2 Mg/m³.